1.
# Ac2SiGe3Au4

A geometry-optimized Ac2SiGe3Au4 structure (PBE-GGA, the Alexandria database).

- raw formation energy (eV per atom) = -0.60
- crystal system = tetragonal
- density (Mg/m³) = 11.2
- space group = P-4m2

a = 4.603 Å, b = 4.603 Å, c = 10.447 Å
α = 90.00°, β = 90.00°, γ = 90.00°
Positions (direct):
Ac (0.000, 0.500, 0.248)
Ac (0.500, 0.000, 0.752)
Si (0.500, 0.500, 0.000)
Ge (0.000, 0.000, 0.000)
Ge (0.000, 0.500, 0.633)
Ge (0.500, 0.000, 0.367)
Au (0.000, 0.000, 0.500)
Au (0.000, 0.500, 0.881)
Au (0.500, 0.000, 0.119)
Au (0.500, 0.500, 0.500)


2.
# Ti3NiB

A geometry-optimized Ti3NiB structure (PBE-GGA, the Alexandria database).

- crystal system = cubic
- ΔE_f (eV per atom) = -0.047
- ΔE to the lowest computed polymorph (meV per atom) = 0
- density (Mg/m³) = 4.7
- space group = Pm-3m

a = 4.208 Å, b = 4.208 Å, c = 4.208 Å
α = 90.00°, β = 90.00°, γ = 90.00°
Positions (direct):
Ti (0.000, 0.000, 0.500)
Ti (0.000, 0.500, 0.000)
Ti (0.500, 0.000, 0.000)
Ni (0.500, 0.500, 0.500)
B (0.000, 0.000, 0.000)